This record from Alexandria describes a relaxed structure of Mn4BeTc. The functional is PBE. Values from VASP.

DOS at the Fermi energy = 1.251 states/eV per atom
Energy of formation from the pure elements = 0.1184 eV per atom
SG = F-43m, No. 216
Calculated density = 7.9 Mg/m³

Structure (Quantum ESPRESSO input):
```
&SYSTEM
  ibrav = 0, nat = 6, ntyp = 3
/
ATOMIC_SPECIES
Tc 98.00 Tc.upf
Mn 54.94 Mn.upf
Be 9.01 Be.upf
CELL_PARAMETERS angstrom
-1.393 -4.244 -1.087
-0.025 -3.301 3.199
-3.993 -1.595 1.625
ATOMIC_POSITIONS crystal
Tc 0.750 0.750 0.750
Mn 0.373 0.373 0.373
Be 0.000 0.000 0.000
Mn 0.880 0.373 0.373
Mn 0.373 0.880 0.373
Mn 0.373 0.373 0.880
```

This record from Alexandria describes a relaxed structure of HfB2RhC. The functional is PBE. Values from VASP.

DOS at the Fermi energy = 0.374 states/eV per atom
Energy of formation from the pure elements = 0.7769 eV per atom
SG = P4/mmm, No. 123
Calculated density = 9.2 Mg/m³

Structure (Quantum ESPRESSO input):
```
&SYSTEM
  ibrav = 0, nat = 5, ntyp = 4
/
ATOMIC_SPECIES
Hf 178.49 Hf.upf
Rh 102.91 Rh.upf
C 12.01 C.upf
B 10.81 B.upf
CELL_PARAMETERS angstrom
3.621 0.000 0.000
0.000 4.319 0.000
0.000 0.000 3.621
ATOMIC_POSITIONS crystal
Hf 0.000 0.500 0.000
Rh 0.500 0.500 0.500
C 0.000 0.000 0.000
B 0.000 0.000 0.500
B 0.500 0.000 0.000
```

This record from Alexandria describes a relaxed structure of SrHoTeO6. The functional is PBE. Values from VASP.

DFT total energy = -6.443 eV/atom
DOS at the Fermi energy = 0.664 states/eV per atom
SG = P-31c, No. 163
Calculated density = 5.5 Mg/m³

Structure (Quantum ESPRESSO input):
```
&SYSTEM
  ibrav = 0, nat = 18, ntyp = 4
/
ATOMIC_SPECIES
O 16.00 O.upf
Te 127.60 Te.upf
Ho 164.93 Ho.upf
Sr 87.62 Sr.upf
CELL_PARAMETERS angstrom
5.687 0.000 0.000
-2.843 4.925 0.000
0.000 0.000 10.255
ATOMIC_POSITIONS crystal
O 0.611 0.958 0.356
Te 0.667 0.333 0.750
O 0.958 0.611 0.856
Ho 0.333 0.667 0.750
Te 0.333 0.667 0.250
O 0.389 0.042 0.644
O 0.042 0.389 0.144
Sr 0.000 0.000 0.000
O 0.958 0.347 0.644
O 0.347 0.958 0.144
O 0.389 0.347 0.856
O 0.653 0.042 0.856
Sr 0.000 0.000 0.500
O 0.611 0.653 0.144
O 0.347 0.389 0.356
O 0.653 0.611 0.644
O 0.042 0.653 0.356
Ho 0.667 0.333 0.250
```

This record from Alexandria describes a relaxed structure of Sc3Sb. The functional is PBE. Values from VASP.

DOS at the Fermi energy = 1.587 states/eV per atom
Excess energy over the best structure of this formula in the dataset = 0.328 eV/atom
SG = R-3m, No. 166
Calculated density = 4.4 Mg/m³

Structure (Quantum ESPRESSO input):
```
&SYSTEM
  ibrav = 0, nat = 4, ntyp = 2
/
ATOMIC_SPECIES
Sb 121.76 Sb.upf
Sc 44.96 Sc.upf
CELL_PARAMETERS angstrom
10.146 0.007 0.004
9.589 3.317 0.004
9.589 1.615 2.897
ATOMIC_POSITIONS crystal
Sb 0.000 0.000 0.000
Sc 0.747 0.747 0.747
Sc 0.500 0.500 0.500
Sc 0.253 0.253 0.253
```

This record from Alexandria describes a relaxed structure of TcTe2As. The functional is PBE. Values from VASP.

DFT total energy = -5.295 eV/atom
DOS at the Fermi energy = 0.850 states/eV per atom
SG = Cm, No. 8
Calculated density = 6.7 Mg/m³

Structure (Quantum ESPRESSO input):
```
&SYSTEM
  ibrav = 0, nat = 4, ntyp = 3
/
ATOMIC_SPECIES
Te 127.60 Te.upf
Tc 98.00 Tc.upf
As 74.92 As.upf
CELL_PARAMETERS angstrom
-0.252 -3.462 3.071
1.129 -4.485 0.306
6.974 0.084 3.451
ATOMIC_POSITIONS crystal
Te 0.110 0.110 0.929
Tc 0.687 0.687 0.641
As 0.409 0.409 0.609
Te 0.294 0.294 0.321
```

This record from Alexandria describes a relaxed structure of Zr2CdPb. The functional is PBE. Values from VASP.

DOS at the Fermi energy = 0.803 states/eV per atom
Energy of formation from the pure elements = -0.0349 eV per atom
SG = C2/m, No. 12
Calculated density = 8.9 Mg/m³

Structure (Quantum ESPRESSO input):
```
&SYSTEM
  ibrav = 0, nat = 4, ntyp = 3
/
ATOMIC_SPECIES
Pb 207.20 Pb.upf
Cd 112.41 Cd.upf
Zr 91.22 Zr.upf
CELL_PARAMETERS angstrom
5.446 0.011 -0.077
4.489 3.083 -0.077
0.965 0.300 5.611
ATOMIC_POSITIONS crystal
Pb 0.250 0.250 0.250
Cd 0.750 0.750 0.750
Zr 0.501 0.501 0.513
Zr 0.999 0.999 0.987
```